No. 1
Crystalline Nd2TmTlO6 at its relaxed geometry, computed with PBE-GGA.

a b c (Å): 5.9389 5.9389 6.1491
angles (deg): 61.12 61.12 60.00
Sites, in units of the cell vectors:
Nd1 0.5287 0.5287 0.4139
Nd2 0.0317 0.0317 0.9050
Tm1 0.8104 0.8104 0.5687
Tl1 0.3079 0.3079 0.0762
O1 0.6175 0.1857 0.2636
O2 0.1857 0.9331 0.2636
O3 0.9331 0.6176 0.2636
O4 0.4442 0.6971 0.7535
O5 0.6971 0.1052 0.7535
O6 0.1052 0.4442 0.7535

**Calculated volume**: 15.591 A^3/atom
**Energy relative to the elements, uncorrected**: -2721 meV per atom

---

No. 2
Crystalline LaErPu2Se4 at its relaxed geometry, computed with PBE-GGA.

a b c (Å): 4.1469 7.2037 7.2422
angles (deg): 109.23 90.00 90.00
Sites, in units of the cell vectors:
La1 0.0000 0.0000 0.0000
Er1 0.5000 0.5000 0.0000
Pu1 0.5000 0.0000 0.5000
Pu2 0.0000 0.5000 0.5000
Se1 0.5000 0.2619 0.2550
Se2 0.5000 0.7381 0.7450
Se3 0.0000 0.2608 0.7527
Se4 0.0000 0.7392 0.2473

**Calculated volume**: 25.535 A^3/atom
**Energy relative to the elements, uncorrected**: -1693 meV per atom

---

No. 3
Crystalline CsK2RbTe at its relaxed geometry, computed with PBE-GGA.

a b c (Å): 6.9040 6.9040 7.5339
angles (deg): 90.00 90.00 90.00
Sites, in units of the cell vectors:
Cs1 0.0000 0.0000 0.5000
K1 0.0000 0.5000 0.0000
K2 0.5000 0.0000 0.0000
Te1 0.0000 0.0000 0.0000
Rb1 0.5000 0.5000 0.5000

**Calculated volume**: 71.821 A^3/atom
**Energy relative to the elements, uncorrected**: -517 meV per atom

---

No. 4
Crystalline Rb2CdCl5 at its relaxed geometry, computed with PBE-GGA.

a b c (Å): 5.7898 8.6408 14.1005
angles (deg): 90.00 90.00 109.57
Sites, in units of the cell vectors:
Rb1 0.8547 0.7094 0.4245
Rb2 0.8547 0.7094 0.0755
Rb3 0.1453 0.2906 0.5755
Rb4 0.1453 0.2906 0.9245
Cd1 0.7997 0.5993 0.7500
Cd2 0.2003 0.4007 0.2500
Cl1 0.9494 0.8989 0.8436
Cl2 0.9494 0.8989 0.6564
Cl3 0.2816 0.5633 0.4014
Cl4 0.2816 0.5633 0.0986
Cl5 0.7157 0.4314 0.2500
Cl6 0.2843 0.5686 0.7500
Cl7 0.7184 0.4367 0.5986
Cl8 0.7184 0.4367 0.9014
Cl9 0.0506 0.1011 0.1564
Cl10 0.0506 0.1011 0.3436

**Calculated volume**: 41.541 A^3/atom
**Energy relative to the elements, uncorrected**: -1264 meV per atom